LaSnH6Ir2 | GGA-PBE | relaxed

Results
**Density**: 9.7 g/cm³
**Magnetization**: 0.0 μB per cell
**Space-group type**: No. 15
**Uncorrected energy**: -4.958 eV per atom

Unit cell a=7.1852 b=7.1852 c=4.8276 alpha=88.27 beta=88.27 gamma=116.77
Closest atoms and distances in Å follow each position.
Positions (direct):
Ir (0.7129, 0.8731, 0.2592)  4 H 1.63-1.76
H (0.4279, 0.0447, 0.5595)  1 H 1.55, 1 Ir 1.63
Ir (0.8731, 0.7129, 0.7592)  4 H 1.63-1.76
H (0.1094, 0.4240, 0.4975)  1 Ir 1.64
H (0.0447, 0.4279, 0.0595)  1 H 1.55, 1 Ir 1.63
H (0.9122, 0.8481, 0.0664)  2 Ir 1.76
Sn (0.5772, 0.4228, 0.2500)  2 H 2.40
Ir (0.2871, 0.1269, 0.7408)  4 H 1.63-1.76
La (0.2135, 0.7865, 0.2500)  10 H 2.39-2.60
La (0.7865, 0.2135, 0.7500)  10 H 2.39-2.60
H (0.5760, 0.8906, 0.0025)  1 Ir 1.64
H (0.1519, 0.0878, 0.4336)  2 Ir 1.76
Ir (0.1269, 0.2871, 0.2408)  4 H 1.63-1.76
H (0.8906, 0.5760, 0.5025)  1 Ir 1.64
H (0.0878, 0.1519, 0.9336)  2 Ir 1.76
H (0.8481, 0.9122, 0.5664)  2 Ir 1.76
H (0.4240, 0.1094, 0.9975)  1 Ir 1.64
H (0.5721, 0.9553, 0.4405)  1 H 1.55, 1 Ir 1.63
Sn (0.4228, 0.5772, 0.7500)  2 H 2.40
H (0.9553, 0.5721, 0.9405)  1 H 1.55, 1 Ir 1.63



Rb3Cd4Au4 | GGA-PBE | relaxed

Results
**Calculated formation energy**: -249 meV/atom
**Density**: 7.3 g/cm³
**Magnetization**: 0.0 μB per cell
**Space-group type**: No. 217
**Uncorrected energy**: -2.037 eV per atom

Unit cell a=7.6282 b=7.6282 c=7.6282 alpha=109.47 beta=109.47 gamma=109.47
Closest atoms and distances in Å follow each position.
Positions (direct):
Au (0.3832, 0.3832, 0.3832)  4 Cd 2.76-2.92
Rb (0.0000, 0.5000, 0.5000)  4 Au 3.62, 4 Cd 3.65
Cd (0.0000, 0.0000, 0.2549)  4 Au 2.76-2.92
Cd (0.2549, 0.0000, 0.0000)  4 Au 2.76-2.92
Au (0.0000, 0.0000, 0.6168)  4 Cd 2.76-2.92
Cd (0.7451, 0.7451, 0.7451)  4 Au 2.76-2.92
Au (0.6168, 0.0000, 0.0000)  4 Cd 2.76-2.92
Rb (0.5000, 0.5000, 0.0000)  4 Au 3.62, 4 Cd 3.65
Cd (0.0000, 0.2549, 0.0000)  4 Au 2.76-2.92
Rb (0.5000, 0.0000, 0.5000)  4 Au 3.62, 4 Cd 3.65
Au (0.0000, 0.6168, 0.0000)  4 Cd 2.76-2.92



DyBeC | GGA-PBE | relaxed

Results
**Calculated formation energy**: 17 meV/atom
**Density**: 6.0 g/cm³
**Magnetization**: 0.0 μB per cell
**Space-group type**: No. 139
**Uncorrected energy**: -5.834 eV per atom

Unit cell a=3.6201 b=3.6201 c=8.1445 alpha=102.84 beta=102.84 gamma=90.00
Closest atoms and distances in Å follow each position.
Positions (direct):
Dy (0.6707, 0.6707, 0.3415)  5 C 2.44-2.56
Be (0.0668, 0.0668, 0.1335)  1 C 1.61
C (0.8288, 0.8288, 0.6577)  1 Be 1.61
Be (0.9332, 0.9332, 0.8665)  1 C 1.61
Dy (0.3293, 0.3293, 0.6585)  5 C 2.44-2.56
C (0.1712, 0.1712, 0.3423)  1 Be 1.61



K2MgCd16 | GGA-PBE | relaxed

Results
**Calculated formation energy**: -65 meV/atom
**Density**: 6.6 g/cm³
**Magnetization**: 0.0 μB per cell
**Space-group type**: No. 160
**Uncorrected energy**: -1.035 eV per atom

Unit cell a=7.8741 b=7.8741 c=7.8741 alpha=82.47 beta=82.47 gamma=82.47
Closest atoms and distances in Å follow each position.
Positions (direct):
Cd (0.2947, 0.7044, 0.9994)  8 Cd 2.99-3.24
Cd (0.9994, 0.2947, 0.7044)  8 Cd 2.99-3.24
Cd (0.9981, 0.9981, 0.5027)  9 Cd 2.99-3.17, 1 Mg 3.17
Mg (0.9063, 0.9063, 0.9063)  13 Cd 3.02-3.38
K (0.6587, 0.6587, 0.6587)  18 Cd 3.66-4.03, 1 Mg 3.79
Cd (0.1498, 0.6471, 0.6471)  8 Cd 3.00-3.24, 1 Mg 3.32
K (0.3407, 0.3407, 0.3407)  19 Cd 3.64-4.04
Cd (0.3528, 0.8453, 0.3528)  9 Cd 3.02-3.28
Cd (0.7044, 0.9994, 0.2947)  8 Cd 2.99-3.24
Cd (0.8453, 0.3528, 0.3528)  9 Cd 3.02-3.28
Cd (0.5027, 0.9981, 0.9981)  9 Cd 2.99-3.17, 1 Mg 3.17
Cd (0.9994, 0.7044, 0.2947)  8 Cd 2.99-3.24
Cd (0.9981, 0.5027, 0.9981)  9 Cd 2.99-3.17, 1 Mg 3.17
Cd (0.7044, 0.2947, 0.9994)  8 Cd 2.99-3.24
Cd (0.3528, 0.3528, 0.8453)  9 Cd 3.02-3.28
Cd (0.6471, 0.1498, 0.6471)  8 Cd 3.00-3.24, 1 Mg 3.32
Cd (0.6471, 0.6471, 0.1498)  8 Cd 3.00-3.24, 1 Mg 3.32
Cd (0.1034, 0.1034, 0.1034)  1 Mg 3.02, 6 Cd 3.17-3.28
Cd (0.2947, 0.9994, 0.7044)  8 Cd 2.99-3.24



LaZnRe2 | GGA-PBE | relaxed

Results
**Calculated formation energy**: 717 meV/atom
**Density**: 13.4 g/cm³
**Magnetization**: 0.0 μB per cell
**Space-group type**: No. 166
**Uncorrected energy**: -7.058 eV per atom

Unit cell a=10.2183 b=10.2183 c=10.2183 alpha=16.08 beta=16.08 gamma=16.08
Closest atoms and distances in Å follow each position.
Positions (direct):
Re (0.5111, 0.5111, 0.5111)  3 Zn 2.74, 6 Re 2.86
Zn (0.2500, 0.2500, 0.2500)  6 Re 2.74, 6 Zn 2.86
La (0.7500, 0.7500, 0.7500)  6 La 2.86
Re (0.9889, 0.9889, 0.9889)  3 Zn 2.74, 6 Re 2.86



KAsCl | GGA-PBE | relaxed

Results
**ΔE_f (raw)**: -0.8 eV per formula unit
**Density**: 3.0 g/cm³
**Magnetization**: 1.0 μB per cell
**Space-group type**: No. 107
**Uncorrected energy**: -2.808 eV per atom

Unit cell a=7.2275 b=7.2275 c=7.2275 alpha=152.17 beta=152.14 gamma=39.79
Closest atoms and distances in Å follow each position.
Positions (direct):
As (0.9894, 0.9894, 0.0000)  4 Cl 3.40, 4 As 3.48, 4 K 3.71
K (0.6937, 0.6937, 0.0000)  4 Cl 2.98
Cl (0.3169, 0.3169, 0.0000)  4 K 2.98



La4CoAuBr2 | GGA-PBE | relaxed

Results
**ΔE_f (raw)**: -7.5 eV per formula unit
**Density**: 6.5 g/cm³
**Magnetization**: 0.0 μB per cell
**Space-group type**: No. 10
**Uncorrected energy**: -5.114 eV per atom

Unit cell a=4.2705 b=8.1672 c=7.3795 alpha=73.35 beta=90.00 gamma=90.00
Closest atoms and distances in Å follow each position.
Positions (direct):
Au (0.5000, 0.5000, 0.0000)  6 La 2.95-3.05
La (0.0000, 0.3024, 0.2718)  1 Co 2.65
La (0.0000, 0.6976, 0.7282)  1 Co 2.65
La (0.5000, 0.7003, 0.2759)  2 Co 2.90, 1 Au 2.95
Co (0.0000, 0.5000, 0.5000)  6 La 2.65-2.90
Br (0.5000, 0.0000, 0.5000)  6 La 3.32-3.33
Br (0.0000, 0.0000, 0.0000)  6 La 3.44-3.60
La (0.5000, 0.2997, 0.7241)  2 Co 2.90, 1 Au 2.95



Ho5Er12Te3 | GGA-PBE | relaxed

Results
**ΔE_f (raw)**: 11.9 eV per formula unit
**Density**: 7.1 g/cm³
**Magnetization**: 0.0 μB per cell
**Space-group type**: No. 230
**Uncorrected energy**: -3.760 eV per atom

Unit cell a=15.7457 b=15.7457 c=15.7457 alpha=109.47 beta=109.47 gamma=109.47
Closest atoms and distances in Å follow each position.
Positions (direct):
Er (0.7300, 0.5880, 0.1534)  2 Ho 3.08-3.23, 2 Te 3.08-3.37, 3 Er 3.18-3.43
Ho (0.7500, 0.1250, 0.8750)  4 Er 3.23
Er (0.0767, 0.6420, 0.7300)  2 Ho 3.08-3.23, 2 Te 3.08-3.37, 3 Er 3.18-3.43
Ho (0.0000, 0.0000, 0.5000)  6 Er 3.08
Ho (0.0000, 0.5000, 0.0000)  6 Er 3.08
Er (0.2700, 0.8580, 0.9233)  2 Ho 3.08-3.23, 2 Te 3.08-3.37, 3 Er 3.18-3.43
Er (0.4346, 0.3580, 0.5880)  2 Ho 3.08-3.23, 2 Te 3.08-3.37, 3 Er 3.18-3.43
Er (0.9120, 0.8466, 0.7700)  2 Ho 3.08-3.23, 2 Te 3.08-3.37, 3 Er 3.18-3.43
Ho (0.6250, 0.8750, 0.2500)  4 Er 3.23
Er (0.0767, 0.4346, 0.8466)  2 Ho 3.08-3.23, 2 Te 3.08-3.37, 3 Er 3.18-3.43
Er (0.0880, 0.9346, 0.3580)  2 Ho 3.08-3.23, 2 Te 3.08-3.37, 3 Er 3.18-3.43
Er (0.3466, 0.5767, 0.4346)  2 Ho 3.08-3.23, 2 Te 3.08-3.37, 3 Er 3.18-3.43
Er (0.0654, 0.1534, 0.4233)  2 Ho 3.08-3.23, 2 Te 3.08-3.37, 3 Er 3.18-3.43
Er (0.1420, 0.4120, 0.0654)  2 Ho 3.08-3.23, 2 Te 3.08-3.37, 3 Er 3.18-3.43
Ho (0.2500, 0.8750, 0.1250)  4 Er 3.23
Er (0.0654, 0.9120, 0.1420)  2 Ho 3.08-3.23, 2 Te 3.08-3.37, 3 Er 3.18-3.43
Er (0.3466, 0.7700, 0.4120)  2 Ho 3.08-3.23, 2 Te 3.08-3.37, 3 Er 3.18-3.43
Er (0.9120, 0.0654, 0.6420)  2 Ho 3.08-3.23, 2 Te 3.08-3.37, 3 Er 3.18-3.43
Er (0.3580, 0.9233, 0.7700)  2 Ho 3.08-3.23, 2 Te 3.08-3.37, 3 Er 3.18-3.43
Er (0.2300, 0.6534, 0.0880)  2 Ho 3.08-3.23, 2 Te 3.08-3.37, 3 Er 3.18-3.43
Te (0.7500, 0.3750, 0.1250)  8 Er 3.08-3.37
Er (0.5880, 0.8580, 0.4346)  2 Ho 3.08-3.23, 2 Te 3.08-3.37, 3 Er 3.18-3.43
Er (0.7700, 0.4233, 0.3580)  2 Ho 3.08-3.23, 2 Te 3.08-3.37, 3 Er 3.18-3.43
Ho (0.3750, 0.2500, 0.1250)  4 Er 3.23
Er (0.1420, 0.7300, 0.5767)  2 Ho 3.08-3.23, 2 Te 3.08-3.37, 3 Er 3.18-3.43
Er (0.1534, 0.0880, 0.7300)  2 Ho 3.08-3.23, 2 Te 3.08-3.37, 3 Er 3.18-3.43
Te (0.6250, 0.3750, 0.7500)  8 Er 3.08-3.37
Er (0.6420, 0.5654, 0.9120)  2 Ho 3.08-3.23, 2 Te 3.08-3.37, 3 Er 3.18-3.43
Er (0.5654, 0.9233, 0.6534)  2 Ho 3.08-3.23, 2 Te 3.08-3.37, 3 Er 3.18-3.43
Er (0.7300, 0.1420, 0.0767)  2 Ho 3.08-3.23, 2 Te 3.08-3.37, 3 Er 3.18-3.43
Er (0.3580, 0.4346, 0.0880)  2 Ho 3.08-3.23, 2 Te 3.08-3.37, 3 Er 3.18-3.43
Te (0.6250, 0.2500, 0.3750)  8 Er 3.08-3.37
Er (0.8466, 0.9346, 0.0767)  2 Ho 3.08-3.23, 2 Te 3.08-3.37, 3 Er 3.18-3.43
Er (0.6420, 0.0767, 0.2300)  2 Ho 3.08-3.23, 2 Te 3.08-3.37, 3 Er 3.18-3.43
Te (0.1250, 0.8750, 0.7500)  8 Er 3.08-3.37
Er (0.5767, 0.3466, 0.9346)  2 Ho 3.08-3.23, 2 Te 3.08-3.37, 3 Er 3.18-3.43
Er (0.9233, 0.3580, 0.2700)  2 Ho 3.08-3.23, 2 Te 3.08-3.37, 3 Er 3.18-3.43
Er (0.0880, 0.1534, 0.2300)  2 Ho 3.08-3.23, 2 Te 3.08-3.37, 3 Er 3.18-3.43
Ho (0.0000, 0.0000, 0.0000)  6 Er 3.08
Er (0.8580, 0.2700, 0.4233)  2 Ho 3.08-3.23, 2 Te 3.08-3.37, 3 Er 3.18-3.43
Ho (0.3750, 0.1250, 0.7500)  4 Er 3.23
Ho (0.2500, 0.3750, 0.6250)  4 Er 3.23
Te (0.2500, 0.1250, 0.3750)  8 Er 3.08-3.37
Er (0.9233, 0.5654, 0.1534)  2 Ho 3.08-3.23, 2 Te 3.08-3.37, 3 Er 3.18-3.43
Er (0.2300, 0.5767, 0.6420)  2 Ho 3.08-3.23, 2 Te 3.08-3.37, 3 Er 3.18-3.43
Te (0.3750, 0.7500, 0.6250)  8 Er 3.08-3.37
Er (0.5654, 0.6420, 0.4120)  2 Ho 3.08-3.23, 2 Te 3.08-3.37, 3 Er 3.18-3.43
Ho (0.5000, 0.0000, 0.5000)  6 Er 3.08
Ho (0.5000, 0.5000, 0.5000)  6 Er 3.08
Er (0.1534, 0.0654, 0.9233)  2 Ho 3.08-3.23, 2 Te 3.08-3.37, 3 Er 3.18-3.43
Er (0.4120, 0.2700, 0.3466)  2 Ho 3.08-3.23, 2 Te 3.08-3.37, 3 Er 3.18-3.43
Te (0.1250, 0.2500, 0.8750)  8 Er 3.08-3.37
Er (0.5767, 0.2300, 0.1420)  2 Ho 3.08-3.23, 2 Te 3.08-3.37, 3 Er 3.18-3.43
Te (0.7500, 0.8750, 0.6250)  8 Er 3.08-3.37
Ho (0.8750, 0.2500, 0.6250)  4 Er 3.23
Er (0.7700, 0.3466, 0.9120)  2 Ho 3.08-3.23, 2 Te 3.08-3.37, 3 Er 3.18-3.43
Ho (0.5000, 0.5000, 0.0000)  6 Er 3.08
Ho (0.0000, 0.5000, 0.5000)  6 Er 3.08
Er (0.8466, 0.9120, 0.2700)  2 Ho 3.08-3.23, 2 Te 3.08-3.37, 3 Er 3.18-3.43
Er (0.2700, 0.4120, 0.8466)  2 Ho 3.08-3.23, 2 Te 3.08-3.37, 3 Er 3.18-3.43
Er (0.6534, 0.4233, 0.5654)  2 Ho 3.08-3.23, 2 Te 3.08-3.37, 3 Er 3.18-3.43
Ho (0.8750, 0.6250, 0.7500)  4 Er 3.23
Er (0.4120, 0.1420, 0.5654)  2 Ho 3.08-3.23, 2 Te 3.08-3.37, 3 Er 3.18-3.43
Ho (0.7500, 0.6250, 0.3750)  4 Er 3.23
Er (0.9346, 0.0880, 0.8580)  2 Ho 3.08-3.23, 2 Te 3.08-3.37, 3 Er 3.18-3.43
Er (0.4346, 0.0767, 0.3466)  2 Ho 3.08-3.23, 2 Te 3.08-3.37, 3 Er 3.18-3.43
Ho (0.5000, 0.0000, 0.0000)  6 Er 3.08
Te (0.8750, 0.7500, 0.1250)  8 Er 3.08-3.37
Te (0.8750, 0.1250, 0.2500)  8 Er 3.08-3.37
Er (0.5880, 0.7300, 0.6534)  2 Ho 3.08-3.23, 2 Te 3.08-3.37, 3 Er 3.18-3.43
Ho (0.6250, 0.7500, 0.8750)  4 Er 3.23
Er (0.4233, 0.7700, 0.8580)  2 Ho 3.08-3.23, 2 Te 3.08-3.37, 3 Er 3.18-3.43
Ho (0.1250, 0.7500, 0.3750)  4 Er 3.23
Te (0.3750, 0.6250, 0.2500)  8 Er 3.08-3.37
Er (0.9346, 0.8466, 0.5767)  2 Ho 3.08-3.23, 2 Te 3.08-3.37, 3 Er 3.18-3.43
Ho (0.1250, 0.3750, 0.2500)  4 Er 3.23
Er (0.4233, 0.6534, 0.0654)  2 Ho 3.08-3.23, 2 Te 3.08-3.37, 3 Er 3.18-3.43
Te (0.2500, 0.6250, 0.8750)  8 Er 3.08-3.37
Er (0.8580, 0.5880, 0.9346)  2 Ho 3.08-3.23, 2 Te 3.08-3.37, 3 Er 3.18-3.43
Er (0.6534, 0.2300, 0.5880)  2 Ho 3.08-3.23, 2 Te 3.08-3.37, 3 Er 3.18-3.43



BaLi2AlPt | GGA-PBE | relaxed

Results
**Calculated formation energy**: -419 meV/atom
**Density**: 5.0 g/cm³
**Magnetization**: 0.0 μB per cell
**Space-group type**: No. 123
**Uncorrected energy**: -3.526 eV per atom

Unit cell a=5.0589 b=5.0589 c=4.7966 alpha=90.00 beta=90.00 gamma=90.00
Closest atoms and distances in Å follow each position.
Positions (direct):
Al (0.0000, 0.0000, 0.5000)  2 Pt 2.40
Li (0.0000, 0.5000, 0.0000)  2 Pt 2.53
Pt (0.0000, 0.0000, 0.0000)  2 Al 2.40, 4 Li 2.53
Li (0.5000, 0.0000, 0.0000)  2 Pt 2.53
Ba (0.5000, 0.5000, 0.5000)  8 Li 3.49, 4 Al 3.58



Sn5Sb2Pb12 | GGA-PBE | relaxed

Results
**ΔE_f (raw)**: 1.7 eV per formula unit
**Density**: 8.7 g/cm³
**Magnetization**: 0.0 μB per cell
**Space-group type**: No. 12
**Uncorrected energy**: -3.739 eV per atom

Unit cell a=9.6396 b=8.9791 c=8.7461 alpha=95.50 beta=90.00 gamma=122.46
Closest atoms and distances in Å follow each position.
Positions (direct):
Pb (0.5210, 0.4018, 0.1506)  1 Sb 3.22, 3 Sn 3.34-3.50, 2 Pb 3.44-3.47
Sn (0.7834, 0.5668, 0.4619)  6 Pb 3.17-3.35, 2 Sn 3.26-3.30
Sb (0.7318, 0.0000, 0.0000)  6 Pb 3.15-3.22
Sn (0.7150, 0.4300, 0.8071)  8 Pb 3.25-3.50, 1 Sn 3.30
Sn (0.0000, 0.0000, 0.5000)  6 Pb 3.06-3.33, 2 Sn 3.26
Pb (0.1191, 0.5982, 0.8494)  1 Sb 3.22, 3 Sn 3.34-3.50, 2 Pb 3.44-3.47
Pb (0.9301, 0.8601, 0.8149)  2 Sn 3.06-3.25, 2 Sb 3.17
Pb (0.5902, 0.7627, 0.4779)  4 Sn 3.17-3.40, 2 Pb 3.43-3.46
Pb (0.1725, 0.7627, 0.4779)  4 Sn 3.17-3.40, 2 Pb 3.43-3.46
Pb (0.4988, 0.9975, 0.7461)  2 Sb 3.15, 1 Sn 3.26, 4 Pb 3.43-3.46
Pb (0.8275, 0.2373, 0.5221)  4 Sn 3.17-3.40, 2 Pb 3.43-3.46
Pb (0.4098, 0.2373, 0.5221)  4 Sn 3.17-3.40, 2 Pb 3.43-3.46
Pb (0.5012, 0.0025, 0.2539)  2 Sb 3.15, 1 Sn 3.26, 4 Pb 3.43-3.46
Sb (0.2682, 0.0000, 0.0000)  6 Pb 3.15-3.22
Sn (0.2166, 0.4332, 0.5381)  6 Pb 3.17-3.35, 2 Sn 3.26-3.30
Pb (0.0699, 0.1399, 0.1851)  2 Sn 3.06-3.25, 2 Sb 3.17
Pb (0.8809, 0.4018, 0.1506)  1 Sb 3.22, 3 Sn 3.34-3.50, 2 Pb 3.44-3.47
Sn (0.2850, 0.5700, 0.1929)  8 Pb 3.25-3.50, 1 Sn 3.30
Pb (0.4790, 0.5982, 0.8494)  1 Sb 3.22, 3 Sn 3.34-3.50, 2 Pb 3.44-3.47



NaTl2HgBr5 | GGA-PBE | relaxed

Results
**ΔE_f (raw)**: -7.9 eV per formula unit
**Density**: 5.5 g/cm³
**Magnetization**: 0.0 μB per cell
**Space-group type**: No. 36
**Uncorrected energy**: -2.508 eV per atom

Unit cell a=4.3760 b=10.2626 c=14.1050 alpha=90.00 beta=90.00 gamma=102.31
Closest atoms and distances in Å follow each position.
Positions (direct):
Br (0.2920, 0.5839, 0.6699)  2 Na 2.96, 1 Tl 3.20
Na (0.7923, 0.5845, 0.5290)  6 Br 2.93-3.27
Br (0.3155, 0.6311, 0.3808)  1 Hg 2.72
Br (0.7080, 0.4161, 0.1699)  2 Na 2.96, 1 Tl 3.20
Hg (0.5524, 0.1049, 0.9262)  4 Br 2.58-2.73
Br (0.0449, 0.0898, 0.0418)  2 Hg 2.73
Br (0.6845, 0.3689, 0.8808)  1 Hg 2.72
Tl (0.8562, 0.7123, 0.8239)  7 Br 3.34-3.54
Na (0.2077, 0.4155, 0.0290)  6 Br 2.93-3.27
Hg (0.4476, 0.8951, 0.4262)  4 Br 2.58-2.73
Br (0.4862, 0.9724, 0.7692)  1 Hg 2.58
Br (0.6467, 0.2935, 0.5093)  1 Na 2.93, 2 Tl 3.20
Tl (0.8675, 0.7351, 0.1739)  3 Br 3.20
Tl (0.1325, 0.2649, 0.6739)  3 Br 3.20
Br (0.3533, 0.7065, 0.0093)  1 Na 2.93, 2 Tl 3.20
Br (0.5138, 0.0276, 0.2692)  1 Hg 2.58
Br (0.9551, 0.9102, 0.5418)  2 Hg 2.73
Tl (0.1438, 0.2877, 0.3239)  7 Br 3.34-3.54



Question: Which formula does entry 2 have?
Answer: Rb3Cd4Au4



Question: Number 7 is which compound?
Answer: La4CoAuBr2



Question: Which value of uncorrected energy does entry 8 give?
Answer: -3.760 eV per atom



What did the second record say?
Rb3Cd4Au4 | GGA-PBE | relaxed

Results
**Calculated formation energy**: -249 meV/atom
**Density**: 7.3 g/cm³
**Magnetization**: 0.0 μB per cell
**Space-group type**: No. 217
**Uncorrected energy**: -2.037 eV per atom

Unit cell a=7.6282 b=7.6282 c=7.6282 alpha=109.47 beta=109.47 gamma=109.47
Closest atoms and distances in Å follow each position.
Positions (direct):
Au (0.3832, 0.3832, 0.3832)  4 Cd 2.76-2.92
Rb (0.0000, 0.5000, 0.5000)  4 Au 3.62, 4 Cd 3.65
Cd (0.0000, 0.0000, 0.2549)  4 Au 2.76-2.92
Cd (0.2549, 0.0000, 0.0000)  4 Au 2.76-2.92
Au (0.0000, 0.0000, 0.6168)  4 Cd 2.76-2.92
Cd (0.7451, 0.7451, 0.7451)  4 Au 2.76-2.92
Au (0.6168, 0.0000, 0.0000)  4 Cd 2.76-2.92
Rb (0.5000, 0.5000, 0.0000)  4 Au 3.62, 4 Cd 3.65
Cd (0.0000, 0.2549, 0.0000)  4 Au 2.76-2.92
Rb (0.5000, 0.0000, 0.5000)  4 Au 3.62, 4 Cd 3.65
Au (0.0000, 0.6168, 0.0000)  4 Cd 2.76-2.92